Material: LiFeF4
Method: DFT, GGA+U
State: optimized geometry

```
data_LiFeF4
_chemical_formula_sum 'Li4 Fe4 F16'
_cell_length_a 6.4266
_cell_length_b 3.0471
_cell_length_c 15.6664
_cell_angle_alpha 90.00
_cell_angle_beta 90.00
_cell_angle_gamma 90.00
_space_group_name_H-M_alt 'P n m a'
_space_group_IT_number 62
loop_
_space_group_symop_operation_xyz
'x,y,z'
'-x,-y,-z'
'-x+1/2,-y,z+1/2'
'x+1/2,y,-z+1/2'
'x+1/2,-y+1/2,-z+1/2'
'-x+1/2,y+1/2,z+1/2'
'-x,y+1/2,-z'
'x,-y+1/2,z'
loop_
_atom_site_label
_atom_site_fract_x
_atom_site_fract_y
_atom_site_fract_z
_atom_site_occupancy
Li1 0.2182 0.2500 0.1513 1
Fe1 0.2181 0.7500 0.3668 1
F1 0.0152 0.7500 0.1360 1
F2 0.0783 0.2500 0.6385 1
F3 0.2177 0.2500 0.4472 1
F4 0.2198 0.2500 0.2817 1
```

Properties
DFT total energy: -122.96 eV/cell